Material: Er2Ga
Method: DFT, PBE-GGA
State: optimized geometry

Unit cell a=12.3777 b=12.3777 c=12.3777 alpha=90.00 beta=90.00 gamma=90.00
With the nearest neighbours (Å) after each atom.
Space group Fd-3m (No. 227, origin choice 2)
Asymmetric unit:
Er 0.0000 0.0000 0.0000 x16  2 Ga 2.68
Ga 0.1250 0.1250 0.1250 x8  4 Er 2.68

Computed properties:
Size of the total moment = 0.03 Bohr magnetons per cell
VASP energy = -0.207 Ry per atom
Mass density = 2.83 g/cm3